[1]
Compound: CoAs2Ir
Source: the Alexandria database
Functional: SCAN
Structure: PBEsol geometry

Lattice parameters (Å, degrees): 2.7683 2.7683 9.4130 90.00 90.00 119.70
With the nearest neighbours (Å) after each atom.
Element x y z (fractional)
1 Co 0.0000 0.0000 0.0000  2 As 2.35, 2 Ir 2.54
2 As 0.0000 0.0000 0.4526  2 Ir 2.54, 6 As 2.77-2.78
3 As 0.5000 0.5000 0.7992  2 Co 2.35
4 Ir 0.5000 0.5000 0.2264  2 As 2.54, 2 Co 2.54, 6 Ir 2.77-2.78

Summary:
Uncorrected energy in eV per atom: -31.940
Formation enthalpy at 0 K in eV/atom: 0.256
SG: Cmm2, No. 35
Polymorph energy (0 for the lowest one) in eV per atom: 0.1459

=====

[2]
Compound: Co2AsIr
Source: the Alexandria database
Functional: SCAN
Structure: PBEsol geometry

Lattice parameters (Å, degrees): 3.6325 5.2155 5.2155 30.38 90.00 90.00
With the nearest neighbours (Å) after each atom.
Element x y z (fractional)
1 Co 0.0000 0.0000 0.0000  4 As 2.43, 1 Ir 2.55, 4 Co 2.66
2 Co 0.5000 0.3621 0.3621  1 As 2.25
3 As 0.5000 0.5856 0.5856  5 Co 2.25-2.43, 2 Ir 2.44
4 Ir 0.0000 0.7468 0.7468  2 As 2.44, 5 Co 2.55

Summary:
Uncorrected energy in eV per atom: -31.392
Formation enthalpy at 0 K in eV/atom: 0.082
SG: Amm2, No. 38

=====

[3]
Compound: CoAsIr2
Source: the Alexandria database
Functional: SCAN
Structure: PBEsol geometry

Lattice parameters (Å, degrees): 5.1826 5.1826 5.1826 148.50 130.06 60.25
With the nearest neighbours (Å) after each atom.
Element x y z (fractional)
1 Co 0.0000 0.0000 0.0000  4 As 2.60, 2 Co 2.81, 4 Ir 2.83
2 As 0.5000 0.5000 0.0000  4 Ir 2.47, 4 Co 2.60
3 Ir 0.2733 0.7733 0.5000  2 As 2.47, 4 Ir 2.63
4 Ir 0.7267 0.2267 0.5000  2 As 2.47, 4 Ir 2.63

Summary:
Uncorrected energy in eV per atom: -44.772
Formation enthalpy at 0 K in eV/atom: 0.151
SG: Immm, No. 71

=====

[4]
Compound: KCoAs
Source: the Alexandria database
Functional: SCAN
Structure: PBEsol geometry

Lattice parameters (Å, degrees): 6.3530 6.3530 6.3530 151.53 151.53 40.70
With the nearest neighbours (Å) after each atom.
Element x y z (fractional)
1 K 0.0000 0.0000 0.0000  4 K 3.12, 5 As 3.37-3.41, 5 Co 3.39
2 Co 0.7156 0.7156 0.0000  4 As 2.36
3 As 0.2859 0.2859 0.0000  4 Co 2.36

Summary:
Uncorrected energy in eV per atom: -15.222
Formation enthalpy at 0 K in eV/atom: 0.053
SG: I4mm, No. 107

=====

[5]
Compound: KCo2As2
Source: the Alexandria database
Functional: SCAN
Structure: PBEsol geometry

Lattice parameters (Å, degrees): 7.2312 7.2312 7.2312 150.24 150.24 42.59
With the nearest neighbours (Å) after each atom.
Element x y z (fractional)
1 K 0.0000 0.0000 0.0000  8 As 3.33, 4 K 3.71
2 Co 0.2500 0.7500 0.5000  4 As 2.28
3 Co 0.7500 0.2500 0.5000  4 As 2.28
4 As 0.3485 0.3485 0.0000  4 Co 2.28
5 As 0.6515 0.6515 0.0000  4 Co 2.28

Summary:
Uncorrected energy in eV per atom: -17.059
Formation enthalpy at 0 K in eV/atom: -0.395
SG: I4/mmm, No. 139

=====

[6]
Compound: KCoMo2As
Source: the Alexandria database
Functional: SCAN
Structure: PBEsol geometry

Lattice parameters (Å, degrees): 4.6418 4.6418 5.4289 90.00 90.00 90.00
With the nearest neighbours (Å) after each atom.
Element x y z (fractional)
1 K 0.0000 0.0000 0.0000  2 As 2.71
2 Co 0.5000 0.5000 0.0000  4 K 3.28, 8 Mo 3.57
3 Mo 0.0000 0.5000 0.5000  2 As 2.32
4 Mo 0.5000 0.0000 0.5000  2 As 2.32
5 As 0.0000 0.0000 0.5000  4 Mo 2.32

Summary:
Uncorrected energy in eV per atom: -21.577
Formation enthalpy at 0 K in eV/atom: 1.542
SG: P4/mmm, No. 123

=====

[7]
Compound: KY2CoAs
Source: the Alexandria database
Functional: SCAN
Structure: PBEsol geometry

Lattice parameters (Å, degrees): 5.1095 5.1095 5.1235 90.00 90.00 90.00
With the nearest neighbours (Å) after each atom.
Element x y z (fractional)
1 K 0.0000 0.0000 0.0000  4 Y 2.55, 2 As 2.56
2 Y 0.0000 0.5000 0.0000  2 K 2.55
3 Y 0.5000 0.0000 0.0000  2 K 2.55
4 Co 0.5000 0.5000 0.5000  4 As 3.61, 8 Y 3.62
5 As 0.0000 0.0000 0.5000  2 K 2.56

Summary:
Uncorrected energy in eV per atom: -18.855
Formation enthalpy at 0 K in eV/atom: 1.447
SG: P4/mmm, No. 123

=====

[8]
Compound: LaCo2As2
Source: the Alexandria database
Functional: SCAN
Structure: PBEsol geometry

Lattice parameters (Å, degrees): 5.8657 5.8657 5.8657 139.92 139.92 57.98
With the nearest neighbours (Å) after each atom.
Element x y z (fractional)
1 La 0.0000 0.0000 0.0000  8 As 3.17, 8 Co 3.26
2 Co 0.2500 0.7500 0.5000  4 As 2.32
3 Co 0.7500 0.2500 0.5000  4 As 2.32
4 As 0.3627 0.3627 0.0000  4 Co 2.32
5 As 0.6373 0.6373 0.0000  4 Co 2.32

Summary:
Uncorrected energy in eV per atom: -24.411
Formation enthalpy at 0 K in eV/atom: -0.792
SG: I4/mmm, No. 139

=====

[9]
Compound: La3CoAs
Source: the Alexandria database
Functional: SCAN
Structure: PBEsol geometry

Lattice parameters (Å, degrees): 5.1223 5.1223 5.1223 90.00 90.00 90.00
With the nearest neighbours (Å) after each atom.
Element x y z (fractional)
1 La 0.0000 0.0000 0.5000  2 Co 2.56
2 La 0.0000 0.5000 0.0000  2 Co 2.56
3 La 0.5000 0.0000 0.0000  2 Co 2.56
4 Co 0.0000 0.0000 0.0000  6 La 2.56
5 As 0.5000 0.5000 0.5000  12 La 3.62

Summary:
Uncorrected energy in eV per atom: -33.844
Formation enthalpy at 0 K in eV/atom: -0.482
SG: Pm-3m, No. 221

=====

[10]
Compound: LaCoAs3
Source: the Alexandria database
Functional: SCAN
Structure: PBEsol geometry

Lattice parameters (Å, degrees): 4.6357 4.6357 4.6357 90.00 90.00 90.00
With the nearest neighbours (Å) after each atom.
Element x y z (fractional)
1 La 0.0000 0.0000 0.0000  12 As 3.28
2 Co 0.5000 0.5000 0.5000  6 As 2.32
3 As 0.0000 0.5000 0.5000  2 Co 2.32
4 As 0.5000 0.0000 0.5000  2 Co 2.32
5 As 0.5000 0.5000 0.0000  2 Co 2.32

Summary:
Uncorrected energy in eV per atom: -24.594
Formation enthalpy at 0 K in eV/atom: -0.398
SG: Pm-3m, No. 221

=====

[11]
Compound: LaCo2AsN
Source: the Alexandria database
Functional: SCAN
Structure: PBEsol geometry

Lattice parameters (Å, degrees): 5.7620 5.7620 6.8447 90.00 90.00 142.10
With the nearest neighbours (Å) after each atom.
Element x y z (fractional)
1 La 0.0448 0.9552 0.7500  4 N 2.58
2 La 0.9552 0.0448 0.2500  4 N 2.58
3 Co 0.3360 0.6640 0.5532  1 N 1.82
4 Co 0.3360 0.6640 0.9468  1 N 1.82
5 Co 0.6640 0.3360 0.0532  1 N 1.82
6 Co 0.6640 0.3360 0.4468  1 N 1.82
7 As 0.2288 0.7712 0.2500  6 Co 2.38-2.41
8 As 0.7712 0.2288 0.7500  6 Co 2.38-2.41
9 N 0.5000 0.5000 0.0000  2 Co 1.82
10 N 0.5000 0.5000 0.5000  2 Co 1.82

Summary:
Raw formation energy in eV/atom: -0.753
Uncorrected energy in eV per atom: -22.193
SG: Cmcm, No. 63

=====

[12]
Compound: LaTiCoAs2
Source: the Alexandria database
Functional: SCAN
Structure: PBEsol geometry

Lattice parameters (Å, degrees): 4.7550 4.7550 5.2155 90.00 90.00 90.00
With the nearest neighbours (Å) after each atom.
Element x y z (fractional)
1 La 0.0000 0.0000 0.0000  2 Ti 2.61
2 Ti 0.0000 0.0000 0.5000  4 As 2.38, 2 La 2.61
3 Co 0.5000 0.5000 0.0000  4 La 3.36, 8 As 3.53
4 As 0.0000 0.5000 0.5000  2 Ti 2.38
5 As 0.5000 0.0000 0.5000  2 Ti 2.38

Summary:
Uncorrected energy in eV per atom: -22.991
Formation enthalpy at 0 K in eV/atom: 0.373
SG: P4/mmm, No. 123

=====

| no. | magnetic moment (μB/f.u.) |
| --- | --- |
| 1 | 1.7 |
| 2 | 2.8 |
| 3 | 1.9 |
| 4 | 0.7 |
| 5 | 0.0 |
| 6 | 4.4 |
| 7 | 2.3 |
| 8 | 1.8 |
| 9 | 0.0 |
| 10 | 1.7 |
| 11 | 2.3 |
| 12 | 1.7 |